# 1
Compound: Na3DyPb4
Source: Alexandria via LeMat-Bulk
Functional: PBE-GGA
Structure: relaxed

```
Na3DyPb4
1.0
0.378 2.044 -4.563
4.889 -1.111 -0.095
-4.535 -8.488 -1.415
Na Pb Dy
3 4 1
direct
0.252 0.752 0.504
0.000 0.500 0.000
0.748 0.248 0.496
0.621 0.620 0.241
0.379 0.380 0.759
0.880 0.879 0.759
0.120 0.121 0.241
0.500 0.000 0.000
```

The calculation puts the total DFT energy (no corrections) at -25.2 eV/cell. The total magnetization comes out at 0.00 μB per atom. The space group is C2/m (12).



# 2
Compound: Cs3HoEr2S6
Source: Alexandria via LeMat-Bulk
Functional: PBE-GGA
Structure: relaxed

```
Cs3HoEr2S6
1.0
7.062 -0.001 0.000
-3.530 6.116 0.000
-1.177 -2.039 8.057
S Cs Ho Er
6 3 1 2
direct
0.060 0.394 0.180
0.274 0.274 0.820
0.606 0.940 0.820
0.726 0.726 0.180
0.394 0.060 0.180
0.940 0.606 0.820
0.167 0.833 0.500
0.833 0.167 0.500
0.500 0.500 0.500
0.000 0.000 0.000
0.333 0.667 0.000
0.667 0.333 0.000
```

For the formation energy from raw total energies, the calculation gives -1.831 eV per atom. The total magnetization comes out at 0.00 μB per atom. The space group is C2/m (12).